Density functional theory data (PBE) for crystalline KMnCu at its relaxed geometry.

Its total energy is -12.17 eV/cell. The calculation puts the formation energy from the elements at 0.730 eV per atom. The excess energy over the best structure of this formula in the dataset is 141.3 meV per atom. The calculation puts the volume at 28.4 Å³/atom.

a b c (Å): 4.2937 4.2937 5.3294
angles (deg): 90.00 90.00 120.00
Space group P3m1 (No. 156)
Asymmetric unit:
K: 0.0000 0.0000 0.0000 x1
Mn: 0.3333 0.6667 0.4999 x1
Cu: 0.6667 0.3333 0.5008 x1



Density functional theory data (PBE) for crystalline KMn2Cu at its relaxed geometry.

Its total energy is -39.00 eV/cell. The calculation puts the formation energy from the elements at 1.008 eV per atom. The excess energy over the best structure of this formula in the dataset is 365.1 meV per atom. The calculation puts the volume at 19.2 Å³/atom.

a b c (Å): 5.8376 10.4777 2.8144
angles (deg): 90.00 116.88 90.00
Space group C2/m (No. 12)
Asymmetric unit:
K: 0.0000 0.0000 0.0000 x2
Mn: 0.2500 0.2500 0.5000 x4
Cu: 0.0000 0.5000 0.0000 x2